Density functional theory data (GGA+U) for crystalline Cs2TaMoO6 at its relaxed geometry.

Cell and atoms, written as extended XYZ:
```
10
Lattice="-2.8114 2.8114 5.8586 2.8114 -2.8114 5.8586 2.8114 2.8114 -5.8586" Properties=species:S:1:pos:R:3 pbc="T T T"
Cs 2.8114 0.0000 2.9293
Cs 0.0000 2.8114 2.9293
Ta 0.0000 0.0000 0.0000
Mo 0.0000 0.0000 5.8586
O 0.0000 0.0000 1.9096
O 1.4699 1.4699 0.0000
O 1.3415 -1.3415 5.8586
O -1.3415 1.3415 5.8586
O 1.3415 1.3415 5.8586
O 0.0000 0.0000 9.8075
```

Results
E_tot (eV/atom): -6.943
M_tot (Bohr magnetons per cell): 1.0